# 1
An optimized crystal structure of YMn4Si2, computed with PBE.

Properties
Raw formation energy ... -467 meV per atom
Calculated total energy ... -57.26 eV per cell

Geometry as POSCAR:
```
YMn4Si2
1.0
3.8068 0.0000 -0.7938
0.0000 3.8646 0.0000
-0.5751 0.0000 6.7652
Y Mn Si
1 4 2
Cartesian
0.0000 0.0000 0.0000
0.5324 1.9323 2.5530
0.7944 0.0000 3.8082
2.6993 1.9323 3.4183
2.4373 0.0000 2.1632
1.0769 1.9323 5.1634
2.1548 1.9323 0.8079
```

***

# 2
An optimized crystal structure of Sr3ZrS, computed with PBE.

Properties
Raw formation energy ... 753 meV per atom
Calculated total energy ... -13.95 eV per cell
Offset from the most stable computed form ... 1025 meV per atom

Geometry as POSCAR:
```
Sr3ZrS
1.0
-1.7838 -5.1999 -2.4922
4.4382 -2.9035 2.8816
-3.6813 -0.9810 4.6816
Sr S Zr
3 1 1
Cartesian
2.2191 -1.4518 1.4408
-1.8407 -0.4905 2.3408
-0.8919 -2.6000 -1.2461
-0.5134 -4.5422 2.5355
0.0000 0.0000 0.0000
```